[1]
Pa2Co3P5: optimized geometry, PBE.

Cell: 5.733 8.199 8.199 Å, 61.08 69.54 69.54°
Fractional positions:
Co1 0.388 0.507 0.717
Co2 0.112 0.283 0.493
Co3 0.888 0.717 0.507
Co4 0.250 0.000 0.000
Co5 0.750 0.000 0.000
Co6 0.612 0.493 0.283
P1 0.750 0.500 0.500
P2 0.590 0.769 0.052
P3 0.090 0.052 0.769
P4 0.525 0.725 0.725
P5 0.910 0.948 0.231
P6 0.410 0.231 0.948
P7 0.975 0.275 0.275
P8 0.475 0.275 0.275
P9 0.025 0.725 0.725
P10 0.250 0.500 0.500
Pa1 0.363 0.911 0.363
Pa2 0.637 0.089 0.637
Pa3 0.863 0.363 0.911
Pa4 0.137 0.637 0.089

V, Å³ per cell: 308
Theoretical density, g/cm³: 8.551
Energy, eV per atom: -7.543
ΔE_f, eV/atom: -0.807

[2]
PmSmSi2Pd5: optimized geometry, PBE.

Cell: 4.231 4.231 9.030 Å, 90.00 90.00 90.00°
Fractional positions:
Pd1 0.000 0.500 0.732
Pd2 0.500 0.000 0.268
Pd3 0.500 0.500 0.500
Pd4 0.500 0.000 0.732
Pd5 0.000 0.500 0.268
Si1 0.500 0.500 0.867
Si2 0.500 0.500 0.133
Sm1 0.000 0.000 0.500
Pm1 0.000 0.000 0.000

V, Å³ per cell: 162
Theoretical density, g/cm³: 9.078
Energy, eV per atom: -6.055
ΔE_f (raw), eV per atom: -0.913

[3]
Zr2MnTl3S6: optimized geometry, PBE.

Cell: 6.409 6.409 8.235 Å, 97.47 97.47 120.01°
Site moments in Bohr magnetons follow the coordinates.
Fractional positions:
Tl1 0.833 0.167 0.500  0.01
Tl2 0.167 0.833 0.500  0.01
Tl3 0.500 0.500 0.500  0.01
Zr1 0.667 0.333 0.000  -0.01
Zr2 0.333 0.667 0.000  -0.01
S1 0.270 0.270 0.817  0.02
S2 0.939 0.607 0.817  0.02
S3 0.730 0.730 0.183  0.02
S4 0.607 0.939 0.817  0.02
S5 0.061 0.393 0.183  0.02
S6 0.393 0.061 0.183  0.02
Mn1 0.000 0.000 0.000  4.11

V, Å³ per cell: 283
Theoretical density, g/cm³: 6.123
Energy, eV per atom: -5.790
ΔE_f (raw), eV per atom: -0.946

[4]
Pm3Al4In2: optimized geometry, PBE.

Cell: 4.701 6.006 8.943 Å, 111.13 90.00 113.04°
Fractional positions:
In1 0.618 0.236 0.281
In2 0.382 0.764 0.719
Pm1 0.337 0.673 0.330
Pm2 0.663 0.327 0.670
Pm3 0.000 0.000 0.000
Al1 0.949 0.899 0.611
Al2 0.267 0.534 0.942
Al3 0.051 0.101 0.389
Al4 0.733 0.466 0.058

V, Å³ per cell: 214
Theoretical density, g/cm³: 6.001
Energy, eV per atom: -4.321
ΔE_f, eV/atom: -0.465